one) ! La3Pm2Er (PBE, relaxed); values from VASP
! Volume ... 211 Å³/f.u.
&SYSTEM
  ibrav = 0, nat = 12, ntyp = 3
/
ATOMIC_SPECIES
Er 167.26 Er.upf
La 138.91 La.upf
Pm 145.00 Pm.upf
ATOMIC_POSITIONS angstrom
Er 0.000 0.000 0.000
Er 0.000 0.000 5.975
La 2.136 -3.701 2.988
La 2.114 0.000 2.988
La 4.273 0.000 8.963
La 1.057 -1.830 8.963
La 1.057 1.830 8.963
La 2.136 3.701 2.988
Pm 3.193 -1.844 0.000
Pm 3.193 -1.844 5.975
Pm 3.193 1.844 5.975
Pm 3.193 1.844 0.000
CELL_PARAMETERS angstrom
3.193 -5.531 0.000
3.193 5.531 0.000
0.000 0.000 11.951

two) ! La3Pm2Er (PBE, relaxed); values from VASP
! Volume ... 210 Å³/f.u.
&SYSTEM
  ibrav = 0, nat = 12, ntyp = 3
/
ATOMIC_SPECIES
Er 167.26 Er.upf
Pm 145.00 Pm.upf
La 138.91 La.upf
ATOMIC_POSITIONS angstrom
Er 0.919 8.098 9.289
Er 2.758 0.964 2.889
Pm 0.919 8.965 2.004
Pm 2.758 0.097 10.174
Pm 0.919 3.310 5.009
Pm 2.758 5.752 7.169
La 2.758 6.124 3.509
La 2.758 5.349 10.783
La 0.919 2.938 8.669
La 0.919 3.713 1.395
La 2.758 0.532 6.540
La 0.919 8.530 5.638
CELL_PARAMETERS angstrom
3.677 0.000 0.000
0.000 10.307 1.239
0.000 -1.245 10.939

In meV/atom, relative to the most stable structure: one) 9; two) 0.